Computed, not measured: a geometry-optimized BeTl2HgBr structure at the PBE level of DFT.

## Properties
ΔE_f (raw)   0.3 eV per formula unit
Total magnetic moment   0.00 μB/atom

Cell lengths 5.166, 5.166, 5.238 Å; angles 90.00, 90.00, 90.00 degrees
Space group P4/mmm (No. 123)
Asymmetric unit:
Be: 0.000 0.000 0.000 (multiplicity 1)
Tl: 0.000 0.500 0.000 (multiplicity 2)
Hg: 0.500 0.500 0.500 (multiplicity 1)
Br: 0.000 0.000 0.500 (multiplicity 1)